Li3Hg | GGA-PBE | relaxed

Lattice parameters (Å, degrees): 5.2163 5.2163 5.2163 90.00 90.00 90.00
Sites, in units of the cell vectors:
Hg (0.0000, 0.0000, 0.0000)
Hg (0.5000, 0.5000, 0.5000)
Li (0.7500, 0.5000, 0.0000)
Li (0.2500, 0.5000, 0.0000)
Li (0.0000, 0.7500, 0.5000)
Li (0.0000, 0.2500, 0.5000)
Li (0.5000, 0.0000, 0.2500)
Li (0.5000, 0.0000, 0.7500)

- Polymorph energy (0 for the lowest one): 28 meV per atom
- DFT formation energy: -0.25 eV per atom

***

Hf2TlCo | GGA-PBE | relaxed

Lattice parameters (Å, degrees): 3.4265 3.4265 8.4324 78.28 78.28 60.00
Sites, in units of the cell vectors:
Co (0.0000, 0.0000, 0.0000)
Tl (0.5000, 0.5000, 0.5000)
Hf (0.2707, 0.2707, 0.1879)
Hf (0.7293, 0.7293, 0.8121)

- Polymorph energy (0 for the lowest one): 49 meV per atom
- DFT formation energy: -0.05 eV per atom

***

PmTlIn4 | GGA-PBE | relaxed

Lattice parameters (Å, degrees): 6.1717 6.1717 6.1717 60.00 60.00 60.00
Sites, in units of the cell vectors:
Tl (0.0000, 0.0000, 0.0000)
In (0.6250, 0.6250, 0.1250)
In (0.6250, 0.1250, 0.6250)
In (0.6250, 0.6250, 0.6250)
In (0.1250, 0.6250, 0.6250)
Pm (0.2500, 0.2500, 0.2500)

- DFT formation energy: -0.13 eV per atom

***

H2RhS | GGA-PBE | relaxed

Lattice parameters (Å, degrees): 3.6968 3.6968 3.6968 60.00 60.00 60.00
Sites, in units of the cell vectors:
H (0.2500, 0.2500, 0.2500)
H (0.7500, 0.7500, 0.7500)
S (0.0000, 0.0000, 0.0000)
Rh (0.5000, 0.5000, 0.5000)

- Polymorph energy (0 for the lowest one): 435 meV per atom

***

LaP2CCl | GGA-PBE | relaxed

Lattice parameters (Å, degrees): 4.0519 4.0519 5.4754 90.00 90.00 90.00
Sites, in units of the cell vectors:
P (0.0000, 0.5000, 0.0000)
P (0.5000, 0.0000, 0.0000)
C (0.0000, 0.0000, 0.0000)
Cl (0.0000, 0.0000, 0.5000)
La (0.5000, 0.5000, 0.5000)

- ΔE_f (raw): 0.009 eV/atom
- Polymorph energy (0 for the lowest one): 0 meV per atom

***

LiAuI6 | GGA-PBE | relaxed

Lattice parameters (Å, degrees): 9.0642 7.5585 6.4744 70.86 53.96 76.34
Sites, in units of the cell vectors:
Li (0.5000, 0.5000, 0.5000)
Au (0.0000, 0.0000, 0.0000)
I (0.1598, 0.3310, 0.6791)
I (0.6793, 0.1966, 0.6621)
I (0.6720, 0.1851, 0.1681)
I (0.3207, 0.8034, 0.3379)
I (0.8402, 0.6690, 0.3209)
I (0.3280, 0.8149, 0.8319)

- ΔE_f (raw): -0.225 eV/atom

***

CsY2CuTe4 | GGA-PBE | relaxed

Lattice parameters (Å, degrees): 4.4380 8.1328 15.5797 90.00 90.00 105.83
Sites, in units of the cell vectors:
Cs (0.1102, 0.2205, 0.7500)
Cs (0.8898, 0.7795, 0.2500)
Y (0.3669, 0.7337, 0.5633)
Y (0.6331, 0.2663, 0.0633)
Y (0.6331, 0.2663, 0.4367)
Y (0.3669, 0.7337, 0.9367)
Cu (0.8342, 0.6684, 0.7500)
Cu (0.1658, 0.3316, 0.2500)
Te (0.2600, 0.5199, 0.1077)
Te (0.7400, 0.4801, 0.6077)
Te (0.7400, 0.4801, 0.8923)
Te (0.2600, 0.5199, 0.3923)
Te (0.0000, 0.0000, 0.5000)
Te (0.0000, 0.0000, 0.0000)
Te (0.4250, 0.8501, 0.7500)
Te (0.5750, 0.1499, 0.2500)

- ΔE_f (raw): -1.147 eV/atom

***

La6MgCo2 | GGA-PBE | relaxed

Lattice parameters (Å, degrees): 5.0143 6.2057 9.2288 96.07 90.00 113.83
Sites, in units of the cell vectors:
La (0.0914, 0.1828, 0.8679)
La (0.6090, 0.2179, 0.1711)
La (0.3910, 0.7821, 0.8289)
La (0.7027, 0.4053, 0.6251)
La (0.2973, 0.5947, 0.3749)
La (0.9086, 0.8172, 0.1321)
Mg (0.0000, 0.0000, 0.5000)
Co (0.7435, 0.4871, 0.8876)
Co (0.2565, 0.5129, 0.1124)

- Polymorph energy (0 for the lowest one): 46 meV per atom
- DFT formation energy: -0.07 eV per atom

***

SiP2Ru | GGA-PBE | relaxed

Lattice parameters (Å, degrees): 2.9870 2.9870 6.8158 90.00 90.00 90.00
Sites, in units of the cell vectors:
P (0.0000, 0.0000, 0.9138)
P (0.5000, 0.5000, 0.3155)
Ru (0.0000, 0.0000, 0.5199)
Si (0.5000, 0.5000, 0.7507)

- ΔE_f (raw): 0.027 eV/atom

***

MgMnRu2 | GGA-PBE | relaxed

Lattice parameters (Å, degrees): 2.7346 2.7346 8.7614 90.00 90.00 113.44
Sites, in units of the cell vectors:
Mg (0.0000, 0.0000, 0.4980)
Mn (0.5000, 0.5000, 0.7681)
Ru (0.0000, 0.0000, 0.9925)
Ru (0.5000, 0.5000, 0.2414)

- DFT formation energy: 0.35 eV per atom

***

ScTi2Tc | GGA-PBE | relaxed

Lattice parameters (Å, degrees): 7.2896 7.2896 5.8735 51.64 51.64 90.00
Sites, in units of the cell vectors:
Sc (0.5000, 0.5000, 0.0000)
Sc (0.2500, 0.7500, 0.5000)
Tc (0.0000, 0.0000, 0.0000)
Tc (0.7500, 0.2500, 0.5000)
Ti (0.6723, 0.1250, 0.2500)
Ti (0.0777, 0.6250, 0.2500)
Ti (0.3750, 0.3277, 0.7500)
Ti (0.8750, 0.9223, 0.7500)

- Polymorph energy (0 for the lowest one): 393 meV per atom
- DFT formation energy: 0.20 eV per atom

***

Tb2SnN | GGA-PBE | relaxed

Lattice parameters (Å, degrees): 3.5048 3.5048 9.1337 78.94 78.94 60.00
Sites, in units of the cell vectors:
Tb (0.1170, 0.1170, 0.6490)
Tb (0.8830, 0.8830, 0.3510)
Sn (0.0000, 0.0000, 0.0000)
N (0.5000, 0.5000, 0.5000)

- ΔE_f (raw): -0.769 eV/atom